This record from the Alexandria database describes an optimized crystal structure of MoHO2. The functional is PBE+U.

Values from the calculation:
The calculation puts the energy above the lowest structure with this stoichiometry at 1046 meV per atom. The electronic total energy is -43.9 eV per cell. The crystal system is tetragonal. The symmetry is No. 141.

Cell lengths 6.314, 6.314, 6.314 Å; angles 120.08, 120.08, 89.86 degrees
Element x y z (fractional)
Mo (0.375, 0.625, 0.750)
Mo (0.625, 0.375, 0.250)
H (0.125, 0.875, 0.250)
H (0.875, 0.125, 0.750)
O (0.000, 0.500, 0.500)
O (0.500, 0.000, 0.000)
O (0.500, 0.500, 0.000)
O (0.500, 0.500, 0.500)